Record 1
DFT (GGA-PBE) results for crystalline NdHo2Zn2 at its relaxed geometry.

Values from the calculation:
ΔE to the lowest computed polymorph	0	meV/atom
calculated formation energy	-122	kJ/mol of formula units
DFT total energy	-3.55	eV/atom
DOS(E_F)	1.040	states/eV/atom

Cell and atoms, written as extended XYZ:
```
10
Lattice="3.625 0.000 0.000 0.000 5.228 0.000 -1.815 0.000 13.272" Properties=species:S:1:pos:R:3 pbc="T T T"
Nd 0.004 1.307 3.801
Nd 1.807 3.921 9.471
Ho -0.001 3.921 1.237
Ho -0.002 3.921 6.177
Ho 1.813 1.307 7.094
Ho 1.812 1.307 12.035
Zn -0.002 1.307 9.549
Zn -0.001 3.921 12.053
Zn 1.812 1.307 1.219
Zn 1.813 3.921 3.723
```

Record 2
DFT (GGA-PBE) results for crystalline Nd2HoZn4 at its relaxed geometry.

Values from the calculation:
calculated formation energy	-103	kJ/mol of formula units
DFT total energy	-2.90	eV/atom
DOS(E_F)	0.763	states/eV/atom

Cell and atoms, written as extended XYZ:
```
14
Lattice="5.215 0.000 0.000 0.000 5.215 0.000 0.000 0.000 12.800" Properties=species:S:1:pos:R:3 pbc="T T T"
Nd 0.000 0.000 2.839
Nd 0.000 0.000 9.962
Nd 2.607 2.607 3.562
Nd 2.607 2.607 9.239
Ho 0.000 0.000 6.400
Ho 2.607 2.607 0.000
Zn 0.000 2.607 1.337
Zn 0.000 2.607 5.063
Zn 0.000 2.607 7.737
Zn 0.000 2.607 11.463
Zn 2.607 0.000 1.337
Zn 2.607 0.000 5.063
Zn 2.607 0.000 7.737
Zn 2.607 0.000 11.463
```

Record 3
DFT (GGA-PBE) results for crystalline NdHoZn4 at its relaxed geometry.

Values from the calculation:
ΔE to the lowest computed polymorph	365	meV/atom
calculated formation energy	6	kJ/mol of formula units
DFT total energy	-2.40	eV/atom
DOS(E_F)	0.494	states/eV/atom

Cell and atoms, written as extended XYZ:
```
6
Lattice="3.786 0.000 0.000 0.000 3.787 0.000 -0.017 0.000 9.887" Properties=species:S:1:pos:R:3 pbc="T T T"
Nd 0.000 0.000 0.000
Ho 1.885 1.895 4.943
Zn -0.010 1.893 7.346
Zn 1.889 0.000 2.541
Zn 1.880 0.000 7.346
Zn 3.779 1.893 2.541
```

Record 4
DFT (GGA-PBE) results for crystalline Nd2HoZn at its relaxed geometry.

Values from the calculation:
ΔE to the lowest computed polymorph	0	meV/atom
calculated formation energy	-60	kJ/mol of formula units
DFT total energy	-4.00	eV/atom
DOS(E_F)	1.089	states/eV/atom

Cell and atoms, written as extended XYZ:
```
16
Lattice="5.143 0.000 0.000 0.000 5.143 0.000 0.000 0.000 17.479" Properties=species:S:1:pos:R:3 pbc="T T T"
Nd 0.000 0.000 2.530
Nd 0.000 0.000 14.949
Nd 0.000 2.571 0.000
Nd 0.000 2.571 8.740
Nd 2.571 0.000 0.000
Nd 2.571 0.000 8.740
Nd 2.571 2.571 6.209
Nd 2.571 2.571 11.270
Ho 0.000 0.000 6.113
Ho 0.000 0.000 11.366
Ho 2.571 2.571 2.626
Ho 2.571 2.571 14.853
Zn 0.000 2.571 4.370
Zn 0.000 2.571 13.109
Zn 2.571 0.000 4.370
Zn 2.571 0.000 13.109
```

Record 5
DFT (GGA-PBE) results for crystalline NdHo2Zn2 at its relaxed geometry.

Values from the calculation:
ΔE to the lowest computed polymorph	61	meV/atom
calculated formation energy	-93	kJ/mol of formula units
DFT total energy	-3.49	eV/atom
DOS(E_F)	0.931	states/eV/atom

Cell and atoms, written as extended XYZ:
```
10
Lattice="2.622 -7.687 0.000 2.622 7.687 0.000 0.000 0.000 6.244" Properties=species:S:1:pos:R:3 pbc="T T T"
Nd 2.622 6.388 3.122
Nd 2.622 -6.388 0.000
Ho 2.622 3.094 4.611
Ho 2.622 0.635 2.214
Ho 2.622 -0.635 5.337
Ho 2.622 -3.094 1.489
Zn 2.622 5.720 0.034
Zn 2.622 3.369 1.444
Zn 2.622 -3.369 4.567
Zn 2.622 -5.720 3.156
```

Record 6
DFT (GGA-PBE) results for crystalline Nd5HoZn6 at its relaxed geometry.

Values from the calculation:
calculated formation energy	-359	kJ/mol of formula units
DFT total energy	-3.31	eV/atom
DOS(E_F)	1.107	states/eV/atom

Cell and atoms, written as extended XYZ:
```
12
Lattice="2.583 -7.788 0.000 2.583 7.788 0.000 0.000 0.000 7.332" Properties=species:S:1:pos:R:3 pbc="T T T"
Nd 0.000 0.000 0.000
Nd 2.583 2.624 0.000
Nd 2.583 2.579 3.666
Nd 2.583 -2.579 3.666
Nd 2.583 -2.624 0.000
Ho 0.000 0.000 3.666
Zn 2.583 5.252 1.870
Zn 2.583 5.252 5.462
Zn 2.583 0.000 1.896
Zn 2.583 0.000 5.436
Zn 2.583 -5.252 1.870
Zn 2.583 -5.252 5.462
```

Question: What is the formula in the first record?
Answer: NdHo2Zn2